1.
An optimized crystal structure of AcLa2Tm, computed with PBE-GGA.

Cell and atoms, written as CIF:
```
data_AcLa2Tm
_chemical_formula_sum 'Ac4 La8 Tm4'
_cell_length_a 8.464
_cell_length_b 8.464
_cell_length_c 8.464
_cell_angle_alpha 90.00
_cell_angle_beta 90.00
_cell_angle_gamma 90.00
_symmetry_space_group_name_H-M 'F m -3 m'
_symmetry_Int_Tables_number 225
_symmetry_space_group_name_Hall '-F 4 2 3'
loop_
_atom_site_label
_atom_site_type_symbol
_atom_site_fract_x
_atom_site_fract_y
_atom_site_fract_z
Ac1 Ac 0.000 0.000 0.000
La1 La 0.250 0.250 0.250
Tm1 Tm 0.000 0.000 0.500
```

Results
Fermi-level density of states	45.08	states/eV/cell
offset from the most stable computed form	134	meV/atom
ΔE_f	0.156	eV/atom

2.
An optimized crystal structure of Ac5La12Tm2, computed with PBE-GGA.

Cell and atoms, written as CIF:
```
data_Ac5La12Tm2
_chemical_formula_sum 'Ac10 La24 Tm4'
_cell_length_a 18.635
_cell_length_b 12.344
_cell_length_c 6.486
_cell_angle_alpha 90.00
_cell_angle_beta 102.37
_cell_angle_gamma 90.00
_symmetry_space_group_name_H-M 'C 1 2/m 1'
_symmetry_Int_Tables_number 12
loop_
_symmetry_equiv_pos_as_xyz
'x,y,z'
'-x,-y,-z'
'-x,y,-z'
'x,-y,z'
'x+1/2,y+1/2,z'
'-x+1/2,-y+1/2,-z'
'-x+1/2,y+1/2,-z'
'x+1/2,-y+1/2,z'
loop_
_atom_site_label
_atom_site_type_symbol
_atom_site_fract_x
_atom_site_fract_y
_atom_site_fract_z
Ac1 Ac 0.000 0.000 0.000
Ac2 Ac 0.173 0.500 0.357
Ac3 Ac 0.216 0.000 0.070
La1 La 0.050 0.500 0.772
La2 La 0.100 0.257 0.115
La3 La 0.118 0.000 0.506
La4 La 0.195 0.246 0.693
Tm1 Tm 0.000 0.232 0.500
```

Results
Fermi-level density of states	64.77	states/eV/cell
ΔE_f	0.092	eV/atom

3.
An optimized crystal structure of Ac3La6Tm, computed with PBE-GGA.

Cell and atoms, written as CIF:
```
data_Ac3La6Tm
_chemical_formula_sum 'Ac6 La12 Tm2'
_cell_length_a 12.285
_cell_length_b 3.785
_cell_length_c 16.933
_cell_angle_alpha 90.00
_cell_angle_beta 96.41
_cell_angle_gamma 90.00
_symmetry_space_group_name_H-M 'P 1 21/m 1'
_symmetry_Int_Tables_number 11
loop_
_symmetry_equiv_pos_as_xyz
'x,y,z'
'-x,-y,-z'
'-x,y+1/2,-z'
'x,-y+1/2,z'
loop_
_atom_site_label
_atom_site_type_symbol
_atom_site_fract_x
_atom_site_fract_y
_atom_site_fract_z
Ac1 Ac 0.019 0.250 0.397
Ac2 Ac 0.224 0.750 0.252
Ac3 Ac 0.319 0.250 0.888
La1 La 0.062 0.750 0.826
La2 La 0.131 0.250 0.041
La3 La 0.240 0.250 0.682
La4 La 0.262 0.750 0.499
La5 La 0.390 0.750 0.073
La6 La 0.499 0.750 0.409
Tm1 Tm 0.494 0.750 0.763
```

Results
Fermi-level density of states	32.85	states/eV/cell
ΔE_f	0.091	eV/atom

4.
An optimized crystal structure of AcLa6Tm3, computed with PBE-GGA.

Cell and atoms, written as CIF:
```
data_AcLa6Tm3
_chemical_formula_sum 'Ac3 La18 Tm9'
_cell_length_a 10.1108
_cell_length_b 10.1108
_cell_length_c 12.5376
_cell_angle_alpha 90.00
_cell_angle_beta 90.00
_cell_angle_gamma 120.00
_symmetry_space_group_name_H-M 'R 3'
_symmetry_Int_Tables_number 146
_symmetry_space_group_name_Hall 'R 3'
loop_
_atom_site_label
_atom_site_type_symbol
_atom_site_fract_x
_atom_site_fract_y
_atom_site_fract_z
Ac1 Ac 0.0000 0.0000 0.0000
La1 La 0.9999 0.3410 0.0005
La2 La 0.9997 0.6713 0.5005
Tm1 Tm 0.0000 0.0000 0.2599
Tm2 Tm 0.0000 0.0000 0.4999
Tm3 Tm 0.0000 0.0000 0.7401
```

Results
Fermi-level density of states	56.83	states/eV/cell
ΔE_f	0.216	eV/atom

5.
An optimized crystal structure of Ac2La15Tm2, computed with PBE-GGA.

Cell and atoms, written as CIF:
```
data_Ac2La15Tm2
_chemical_formula_sum 'Ac6 La45 Tm6'
_cell_length_a 11.7169
_cell_length_b 11.7169
_cell_length_c 18.0757
_cell_angle_alpha 90.00
_cell_angle_beta 90.00
_cell_angle_gamma 120.00
_symmetry_space_group_name_H-M 'R -3 m'
_symmetry_Int_Tables_number 166
_symmetry_space_group_name_Hall '-R 3 2"'
loop_
_atom_site_label
_atom_site_type_symbol
_atom_site_fract_x
_atom_site_fract_y
_atom_site_fract_z
Ac1 Ac 0.0000 0.0000 0.1731
La1 La 0.0000 0.2915 0.5000
La2 La 0.0000 0.5000 0.0000
La3 La 0.0107 0.5053 0.6411
Tm1 Tm 0.0000 0.0000 0.4054
```

Results
Fermi-level density of states	102.64	states/eV/cell
ΔE_f	0.174	eV/atom

6.
An optimized crystal structure of Ac2La7Tm2, computed with PBE-GGA.

Cell and atoms, written as CIF:
```
data_Ac2La7Tm2
_chemical_formula_sum 'Ac4 La14 Tm4'
_cell_length_a 12.934
_cell_length_b 7.226
_cell_length_c 9.752
_cell_angle_alpha 90.00
_cell_angle_beta 115.34
_cell_angle_gamma 90.00
_symmetry_space_group_name_H-M 'C 1 2/m 1'
_symmetry_Int_Tables_number 12
loop_
_symmetry_equiv_pos_as_xyz
'x,y,z'
'-x,-y,-z'
'-x,y,-z'
'x,-y,z'
'x+1/2,y+1/2,z'
'-x+1/2,-y+1/2,-z'
'-x+1/2,y+1/2,-z'
'x+1/2,-y+1/2,z'
loop_
_atom_site_label
_atom_site_type_symbol
_atom_site_fract_x
_atom_site_fract_y
_atom_site_fract_z
Ac1 Ac 0.226 0.000 0.454
La1 La 0.000 0.000 0.000
La2 La 0.002 0.500 0.829
La3 La 0.236 0.224 0.830
Tm1 Tm 0.000 0.253 0.500
```

Results
Fermi-level density of states	33.90	states/eV/cell
ΔE_f	0.156	eV/atom

no.,magnetization (μB/atom)
1,0.01
2,0.00
3,0.00
4,0.00
5,0.00
6,0.00